Computed, not measured: a geometry-optimized La2Er2In3 structure at the GGA-PBE level of DFT.

Cell: 5.3474 5.4773 15.0181 Å, 90.00 90.00 90.00°
With the nearest neighbours (Å) after each atom.
Space group Immm (No. 71)
Inequivalent atoms, fractional coordinates:
La (0.0000, 0.0000, 0.1256) [4 per cell]  6 In 3.26-3.33
Er (0.0000, 0.0000, 0.3810) [4 per cell]  6 In 3.22-3.37, 1 Er 3.57
In (0.0000, 0.5000, 0.0000) [2 per cell]  4 Er 3.22, 4 La 3.33
In (0.0000, 0.5000, 0.2507) [4 per cell]  4 La 3.26-3.32, 4 Er 3.33-3.37

Calculated values
magnetic moment: 0.00 μB per formula unit
formation energy from the elements: -32 kJ/mol of atoms
theoretical density: 7.22 Mg/m³

---

Computed, not measured: a geometry-optimized La12ErIn3 structure at the GGA-PBE level of DFT.

Cell: 5.0825 5.0825 20.5382 Å, 90.00 90.00 90.00°
With the nearest neighbours (Å) after each atom.
Space group P4/mmm (No. 123)
Inequivalent atoms, fractional coordinates:
La (0.0000, 0.0000, 0.0000) [1 per cell]  8 La 3.59, 4 In 3.59
La (0.0000, 0.0000, 0.2467) [2 per cell]  8 La 3.59-3.60, 4 In 3.59
La (0.0000, 0.0000, 0.5000) [1 per cell]  4 Er 3.59, 8 La 3.68
La (0.0000, 0.5000, 0.1235) [4 per cell]  4 In 3.58-3.59, 8 La 3.59
La (0.0000, 0.5000, 0.3706) [4 per cell]  8 La 3.59-3.68, 2 In 3.61, 2 Er 3.68
Er (0.5000, 0.5000, 0.5000) [1 per cell]  12 La 3.59-3.68
In (0.5000, 0.5000, 0.0000) [1 per cell]  12 La 3.59
In (0.5000, 0.5000, 0.2460) [2 per cell]  12 La 3.58-3.61

Calculated values
magnetic moment: 0.00 μB per formula unit
formation energy from the elements: -21 kJ/mol of atoms
theoretical density: 6.82 Mg/m³

---

Computed, not measured: a geometry-optimized La2ErIn3 structure at the GGA-PBE level of DFT.

Cell: 3.8364 3.8364 11.9015 Å, 90.00 90.00 90.00°
With the nearest neighbours (Å) after each atom.
Space group P4/mmm (No. 123)
Inequivalent atoms, fractional coordinates:
La (0.0000, 0.0000, 0.1750) [2 per cell]  8 In 3.42-3.44
Er (0.0000, 0.0000, 0.5000) [1 per cell]  8 In 3.23
In (0.5000, 0.5000, 0.0000) [1 per cell]  8 La 3.42
In (0.5000, 0.5000, 0.3524) [2 per cell]  4 Er 3.23, 4 La 3.44, 1 In 3.51

Calculated values
magnetic moment: 0.00 μB per formula unit
formation energy from the elements: -48 kJ/mol of atoms
theoretical density: 7.48 Mg/m³

---

Computed, not measured: a geometry-optimized La9Er4In11 structure at the GGA-PBE level of DFT.

Cell: 17.7447 23.0054 3.4826 Å, 90.00 90.00 90.00°
With the nearest neighbours (Å) after each atom.
Space group Cmmm (No. 65)
Inequivalent atoms, fractional coordinates:
La (0.0000, 0.0000, 0.0000) [2 per cell]  4 Er 3.47, 2 La 3.48, 4 In 3.57
La (0.1095, 0.2486, 0.0000) [8 per cell]  8 In 3.40-3.68, 2 La 3.48, 1 Er 3.51
La (0.1360, 0.4190, 0.0000) [8 per cell]  8 In 3.41-3.53, 3 La 3.48-3.73
Er (0.1477, 0.0989, 0.0000) [8 per cell]  6 In 3.19-3.26, 2 La 3.47-3.51, 2 Er 3.48
In (0.0000, 0.1355, 0.5000) [4 per cell]  4 Er 3.26, 2 In 3.48, 2 La 3.57
In (0.0000, 0.3470, 0.5000) [4 per cell]  8 La 3.41-3.45, 3 In 3.48-3.52
In (0.0000, 0.5000, 0.5000) [2 per cell]  4 In 3.48-3.52, 8 La 3.51
In (0.2268, 0.0000, 0.5000) [4 per cell]  4 Er 3.19, 2 In 3.48, 4 La 3.52
In (0.2476, 0.3173, 0.5000) [8 per cell]  1 In 3.10, 2 Er 3.19, 4 La 3.40-3.43

Calculated values
magnetic moment: 0.51 μB per formula unit
formation energy from the elements: -41 kJ/mol of atoms
theoretical density: 7.43 Mg/m³

---

Computed, not measured: a geometry-optimized LaEr4In structure at the GGA-PBE level of DFT.

Cell: 3.5840 3.5840 14.1895 Å, 90.00 90.00 90.00°
With the nearest neighbours (Å) after each atom.
Space group P4/mmm (No. 123)
Inequivalent atoms, fractional coordinates:
La (0.0000, 0.0000, 0.0000) [1 per cell]  4 La 3.58, 8 Er 3.62
Er (0.0000, 0.0000, 0.3544) [2 per cell]  4 In 3.27, 8 Er 3.52-3.58
Er (0.5000, 0.5000, 0.1824) [2 per cell]  8 Er 3.52-3.58, 4 La 3.62
In (0.5000, 0.5000, 0.5000) [1 per cell]  8 Er 3.27, 4 In 3.58

Calculated values
magnetic moment: 0.00 μB per formula unit
formation energy from the elements: -14 kJ/mol of atoms
theoretical density: 8.41 Mg/m³

---

Computed, not measured: a geometry-optimized La5ErIn6 structure at the GGA-PBE level of DFT.

Cell: 9.5654 16.6573 5.5435 Å, 90.00 125.36 90.00°
With the nearest neighbours (Å) after each atom.
Space group C2/m (No. 12)
Inequivalent atoms, fractional coordinates:
La (0.0000, 0.0000, 0.0000) [2 per cell]  8 In 3.37-3.50
La (0.0000, 0.1626, 0.5000) [4 per cell]  8 In 3.44-3.48
La (0.0000, 0.3239, 0.0000) [4 per cell]  8 In 3.34-3.42
Er (0.0000, 0.5000, 0.5000) [2 per cell]  8 In 3.25-3.29
In (0.2265, 0.5000, 0.2262) [4 per cell]  2 Er 3.29, 6 La 3.42-3.50, 1 In 3.53
In (0.2373, 0.3395, 0.7372) [8 per cell]  1 Er 3.25, 7 La 3.34-3.48

Calculated values
magnetic moment: 0.00 μB per formula unit
formation energy from the elements: -48 kJ/mol of atoms
theoretical density: 7.15 Mg/m³